# NaRe3Pb5 PBE relaxed
data_NaRe3Pb5
_cell_length_a 5.5305
_cell_length_b 5.5305
_cell_length_c 8.9407
_cell_angle_alpha 90.00
_cell_angle_beta 90.00
_cell_angle_gamma 120.00
_symmetry_space_group_name_H-M 'P 6/m m m'
_symmetry_Int_Tables_number 191
_symmetry_space_group_name_Hall '-P 6 2'
loop_
_atom_site_label
_atom_site_type_symbol
_atom_site_fract_x
_atom_site_fract_y
_atom_site_fract_z
Na1 Na 0.0000 0.0000 0.0000
Re1 Re 0.0000 0.5000 0.5000
Pb1 Pb 0.0000 0.0000 0.5000
Pb2 Pb 0.3333 0.6667 0.2117
# Volume: 26.31 Å³/atom
# E: -0.43170 Ry per atom